! PBE CuSbTe2Pb, relaxed; values from VASP
&SYSTEM
  ibrav = 0, nat = 5, ntyp = 4
/
ATOMIC_SPECIES
Te 127.60 Te.upf
Pb 207.20 Pb.upf
Sb 121.76 Sb.upf
Cu 63.55 Cu.upf
ATOMIC_POSITIONS angstrom
Te 2.6788 0.0000 0.0000
Te 0.0000 2.6788 0.0000
Pb 2.6788 2.6788 2.4947
Sb 0.0000 0.0000 2.4947
Cu 0.0000 0.0000 0.0000
CELL_PARAMETERS angstrom
5.3575 0.0000 0.0000
0.0000 5.3575 0.0000
0.0000 0.0000 4.9895
! D(E_F)   0.77 states/eV per atom
! Uncorrected formation energy   0.21 eV/atom
! Symmetry   P4/mmm
! Energy relative to the lowest polymorph listed for this composition   0 meV per atom

=====

! PBE AcTb2PmEr, relaxed; values from VASP
&SYSTEM
  ibrav = 0, nat = 10, ntyp = 4
/
ATOMIC_SPECIES
Ac 227.00 Ac.upf
Tb 158.93 Tb.upf
Pm 145.00 Pm.upf
Er 167.26 Er.upf
ATOMIC_POSITIONS angstrom
Ac 1.6183 3.2434 2.7991
Ac 4.8548 0.0000 5.9921
Tb 0.0000 1.6088 0.0000
Tb 3.2365 4.8780 0.0000
Tb 3.2365 1.6088 0.0000
Tb 0.0000 4.8780 0.0000
Pm 1.6183 3.2434 6.1027
Pm 4.8548 0.0000 2.6886
Er 4.8548 3.2434 4.4231
Er 1.6183 0.0000 4.3681
CELL_PARAMETERS angstrom
6.4731 0.0000 0.0000
0.0000 6.4868 0.0000
0.0000 -3.2434 8.7913
! ΔH_f (0 K)   0.390 eV/atom
! D(E_F)   1.73 states/eV per atom
! Symmetry   Cmcm

=====

no.,total moment (μB per cell)
1,0.000
2,0.000